(1)
Computed, not measured: an optimized crystal structure of EuSn3Sb4 at the PBE-GGA level of DFT.

Structure (POSCAR):
```
EuSn3Sb4
1.0
4.443 0.000 0.000
0.000 10.025 0.000
0.000 0.000 22.853
Eu Sn Sb
4 12 16
direct
0.250 0.062 0.872
0.250 0.562 0.628
0.750 0.938 0.128
0.750 0.438 0.372
0.250 0.279 0.749
0.250 0.779 0.751
0.750 0.721 0.251
0.750 0.221 0.249
0.250 0.354 0.988
0.250 0.854 0.512
0.750 0.646 0.012
0.750 0.146 0.488
0.250 0.453 0.150
0.250 0.953 0.350
0.750 0.547 0.850
0.750 0.047 0.650
0.250 0.028 0.229
0.250 0.528 0.271
0.750 0.972 0.771
0.750 0.472 0.729
0.250 0.207 0.405
0.250 0.707 0.095
0.750 0.793 0.595
0.750 0.293 0.905
0.250 0.217 0.621
0.250 0.717 0.879
0.750 0.783 0.379
0.750 0.283 0.121
0.250 0.571 0.470
0.250 0.071 0.030
0.750 0.429 0.530
0.750 0.929 0.970
```

Properties
ρ	6.5	Mg/m³
E	-5.132	eV/atom

***

(2)
Computed, not measured: an optimized crystal structure of Pm4Ag at the PBE-GGA level of DFT.

Structure (POSCAR):
```
Pm4Ag
1.0
5.711 0.000 0.000
0.000 5.711 0.000
0.000 0.000 5.711
Ag Pm
1 4
direct
0.500 0.500 0.500
0.000 0.000 0.000
0.500 0.000 0.500
0.000 0.500 0.500
0.500 0.500 0.000
```

Properties
calculated formation energy	0.26	eV per atom
ρ	6.1	Mg/m³
distance to the lowest polymorph of the same formula	270	meV per atom

***

(3)
Computed, not measured: an optimized crystal structure of CuRe2P2 at the PBE-GGA level of DFT.

Structure (POSCAR):
```
CuRe2P2
1.0
-6.562 1.147 1.587
-1.677 -6.156 -2.488
0.427 -1.173 2.614
Cu Re P
2 4 4
direct
0.000 0.000 0.000
0.500 0.500 0.000
0.650 0.150 0.500
0.350 0.850 0.500
0.150 0.350 0.500
0.850 0.650 0.500
0.853 0.353 0.000
0.147 0.647 0.000
0.353 0.147 0.000
0.647 0.853 0.000
```

Properties
calculated formation energy	0.14	eV per atom
ρ	12.2	Mg/m³

***

(4)
Computed, not measured: an optimized crystal structure of SrCeTlIn at the PBE-GGA level of DFT.

Structure (POSCAR):
```
SrCeTlIn
1.0
-3.350 -4.406 1.043
2.245 -4.990 1.335
-0.481 -1.992 5.246
Sr Tl Ce In
1 1 1 1
direct
0.750 0.750 0.750
0.000 0.000 0.000
0.250 0.250 0.250
0.500 0.500 0.500
```

Properties
calculated formation energy	-0.30	eV per atom
ρ	7.2	Mg/m³

***

(5)
Computed, not measured: an optimized crystal structure of BaGa2Cu2 at the PBE-GGA level of DFT.

Structure (POSCAR):
```
BaGa2Cu2
1.0
4.374 0.000 0.000
0.000 4.374 0.000
2.187 2.187 5.564
Cu Ba Ga
2 1 2
direct
0.370 0.370 0.260
0.630 0.630 0.740
0.000 0.000 0.000
0.750 0.250 0.500
0.250 0.750 0.500
```

Properties
calculated formation energy	-0.20	eV per atom
ρ	6.3	Mg/m³

***

(6)
Computed, not measured: an optimized crystal structure of Li3Ga3Pt2 at the PBE-GGA level of DFT.

Structure (POSCAR):
```
Li3Ga3Pt2
1.0
0.493 -4.284 0.330
3.282 -1.961 -2.022
5.331 -1.172 5.165
Li Ga Pt
3 3 2
direct
0.250 0.250 0.250
0.750 0.750 0.750
0.623 0.623 0.130
0.126 0.126 0.622
0.880 0.880 0.361
0.371 0.371 0.887
0.003 0.003 0.990
0.497 0.497 0.510
```

Properties
calculated formation energy	-0.68	eV per atom
ρ	9.0	Mg/m³

***

(7)
Computed, not measured: an optimized crystal structure of NaY2SbH at the PBE-GGA level of DFT.

Structure (POSCAR):
```
NaY2SbH
1.0
4.819 0.000 0.000
0.000 4.819 0.000
0.000 0.000 4.577
Y Sb H Na
2 1 1 1
direct
0.000 0.500 0.000
0.500 0.000 0.000
0.500 0.500 0.500
0.000 0.000 0.000
0.000 0.000 0.500
```

Properties
ρ	5.1	Mg/m³
E	-4.796	eV/atom

***

(8)
Computed, not measured: an optimized crystal structure of LiTbNdTc at the PBE-GGA level of DFT.

Structure (POSCAR):
```
LiTbNdTc
1.0
-1.367 -0.646 -4.776
-2.663 -4.033 -1.320
-4.808 0.495 -1.318
Nd Tb Tc Li
1 1 1 1
direct
0.750 0.750 0.750
0.250 0.250 0.250
0.500 0.500 0.500
0.000 0.000 0.000
```

Properties
calculated formation energy	0.03	eV per atom
ρ	7.6	Mg/m³

***

(9)
Computed, not measured: an optimized crystal structure of SrHo4In5 at the PBE-GGA level of DFT.

Structure (POSCAR):
```
SrHo4In5
1.0
-0.278 -2.672 -2.679
-0.120 -2.679 2.684
-19.134 1.422 0.564
Sr Ho In
1 4 5
direct
0.000 0.000 0.000
0.000 0.000 0.212
0.000 0.000 0.404
0.000 0.000 0.596
0.000 0.000 0.788
0.500 0.500 0.117
0.500 0.500 0.309
0.500 0.500 0.500
0.500 0.500 0.691
0.500 0.500 0.883
```

Properties
calculated formation energy	-0.44	eV per atom
ρ	7.9	Mg/m³

***

(10)
Computed, not measured: an optimized crystal structure of Cd2GeP2 at the PBE-GGA level of DFT.

Structure (POSCAR):
```
Cd2GeP2
1.0
7.327 0.000 0.000
0.000 7.327 0.000
0.000 0.000 3.767
P Ge Cd
4 2 4
direct
0.322 0.822 0.000
0.822 0.678 0.000
0.678 0.178 0.000
0.178 0.322 0.000
0.000 0.000 0.000
0.500 0.500 0.000
0.138 0.638 0.500
0.638 0.862 0.500
0.862 0.362 0.500
0.362 0.138 0.500
```

Properties
calculated formation energy	0.31	eV per atom
ρ	5.9	Mg/m³

***

(11)
Computed, not measured: an optimized crystal structure of IrBrCl2 at the PBE-GGA level of DFT.

Structure (POSCAR):
```
IrBrCl2
1.0
-2.277 -1.722 1.195
1.349 -2.556 -1.112
5.515 -1.020 9.038
Ir Br Cl
1 1 2
direct
0.500 0.500 0.250
0.500 0.500 0.750
0.000 0.000 0.099
0.000 0.000 0.401
```

Properties
ρ	5.6	Mg/m³
distance to the lowest polymorph of the same formula	1040	meV per atom

***

(12)
Computed, not measured: an optimized crystal structure of VCr5Re6 at the PBE-GGA level of DFT.

Structure (POSCAR):
```
VCr5Re6
1.0
-0.712 2.544 -3.316
-4.164 -3.794 -2.017
-4.095 1.843 4.989
Cr Re V
5 6 1
direct
0.668 0.500 0.336
0.332 0.000 0.664
0.000 0.500 0.000
0.668 0.000 0.336
0.332 0.500 0.664
0.834 0.750 0.667
0.834 0.250 0.667
0.500 0.251 0.000
0.500 0.749 0.000
0.166 0.750 0.333
0.166 0.250 0.333
0.000 0.000 0.000
```

Properties
calculated formation energy	-0.02	eV per atom
ρ	14.7	Mg/m³

***

(13)
Computed, not measured: an optimized crystal structure of LiPm2Si2 at the PBE-GGA level of DFT.

Structure (POSCAR):
```
LiPm2Si2
1.0
-2.464 0.844 -3.499
-4.290 -3.965 -0.655
-6.607 5.991 3.378
Li Pm Si
2 4 4
direct
0.636 0.092 0.635
0.364 0.908 0.365
0.684 0.302 0.330
0.909 0.282 0.900
0.316 0.698 0.670
0.091 0.718 0.100
0.055 0.318 0.571
0.622 0.866 0.889
0.945 0.682 0.429
0.378 0.134 0.111
```

Properties
ρ	5.3	Mg/m³
distance to the lowest polymorph of the same formula	0	meV per atom

***

(14)
Computed, not measured: an optimized crystal structure of Li3CdSi at the PBE-GGA level of DFT.

Structure (POSCAR):
```
Li3CdSi
1.0
4.828 0.000 0.000
0.000 4.828 0.000
0.000 0.000 4.828
Si Li Cd
1 3 1
direct
0.500 0.500 0.500
0.000 0.500 0.000
0.000 0.000 0.500
0.500 0.000 0.000
0.000 0.000 0.000
```

Properties
ρ	2.4	Mg/m³
distance to the lowest polymorph of the same formula	705	meV per atom

***

(15)
Computed, not measured: an optimized crystal structure of Li5SnHg6 at the PBE-GGA level of DFT.

Structure (POSCAR):
```
Li5SnHg6
1.0
-2.765 1.235 3.616
1.125 -2.894 8.037
4.802 4.017 5.393
Li Sn Hg
5 1 6
direct
0.500 0.154 0.693
0.000 0.329 0.341
0.500 0.500 0.000
0.000 0.671 0.659
0.500 0.846 0.307
0.000 0.000 0.000
0.727 0.095 0.354
0.273 0.551 0.354
0.217 0.283 0.000
0.783 0.717 0.000
0.727 0.449 0.646
0.273 0.905 0.646
```

Properties
calculated formation energy	-0.31	eV per atom
ρ	9.4	Mg/m³

***

(16)
Computed, not measured: an optimized crystal structure of RbWS2N at the PBE-GGA level of DFT.

Structure (POSCAR):
```
RbWS2N
1.0
-2.074 3.663 3.022
0.097 -3.264 4.023
3.649 1.281 0.951
S Rb W N
2 1 1 1
direct
0.000 0.500 0.000
0.500 0.000 0.000
0.000 0.000 0.000
0.500 0.500 0.500
0.000 0.000 0.500
```

Properties
ρ	5.4	Mg/m³
distance to the lowest polymorph of the same formula	3312	meV per atom

***

(17)
Computed, not measured: an optimized crystal structure of TbPr3Au7 at the PBE-GGA level of DFT.

Structure (POSCAR):
```
TbPr3Au7
1.0
-3.286 1.997 0.211
-2.030 -6.094 -9.076
-5.265 -9.461 7.530
Tb Pr Au
2 6 14
direct
0.995 0.990 0.250
0.005 0.010 0.750
0.136 0.272 0.448
0.864 0.728 0.552
0.199 0.398 0.750
0.801 0.602 0.250
0.136 0.272 0.052
0.864 0.728 0.948
0.380 0.760 0.750
0.620 0.240 0.250
0.529 0.059 0.412
0.471 0.941 0.588
0.471 0.941 0.912
0.529 0.059 0.088
0.400 0.800 0.360
0.600 0.200 0.640
0.277 0.554 0.432
0.723 0.446 0.568
0.723 0.446 0.932
0.277 0.554 0.068
0.400 0.800 0.140
0.600 0.200 0.860
```

Properties
calculated formation energy	-0.70	eV per atom
ρ	11.7	Mg/m³

***

(18)
Computed, not measured: an optimized crystal structure of NbVSCl2 at the PBE-GGA level of DFT.

Structure (POSCAR):
```
NbVSCl2
1.0
-0.347 -4.151 -2.118
-1.485 -1.915 3.996
-4.612 1.012 -1.229
Nb Cl S V
1 2 1 1
direct
0.500 0.500 0.500
0.000 0.500 0.000
0.500 0.000 0.000
0.000 0.000 0.500
0.000 0.000 0.000
```

Properties
ρ	3.8	Mg/m³
distance to the lowest polymorph of the same formula	60	meV per atom

***

(19)
Computed, not measured: an optimized crystal structure of BaY2Te at the PBE-GGA level of DFT.

Structure (POSCAR):
```
BaY2Te
1.0
-0.531 -3.867 -1.065
2.059 -1.728 5.248
-5.221 0.139 2.095
Ba Te Y
1 1 2
direct
0.500 0.000 0.500
0.000 0.500 0.500
0.000 0.000 0.000
0.500 0.500 0.000
```

Properties
ρ	5.5	Mg/m³
E	-4.819	eV/atom

***

(20)
Computed, not measured: an optimized crystal structure of CdInReAg2 at the PBE-GGA level of DFT.

Structure (POSCAR):
```
CdInReAg2
1.0
-1.821 3.926 -2.800
-4.891 -1.206 1.491
0.472 3.123 4.073
Re Cd Ag In
1 1 2 1
direct
0.500 0.500 0.500
0.000 0.500 0.000
0.000 0.000 0.500
0.500 0.000 0.000
0.000 0.000 0.000
```

Properties
calculated formation energy	1.65	eV per atom
ρ	7.5	Mg/m³